DFT (PBE) results for an optimized crystal structure of KMg2ScF8.

E_tot: -5.6491 eV/atom
D(E_F): 0.000 states/eV/f.u.
Formation energy (no corrections): -3.517 eV per atom

a = 5.0777 Å, b = 5.0777 Å, c = 7.1509 Å
α = 97.70°, β = 97.70°, γ = 80.85°
Last column: nearest neighbours and their distance in Å.
Element x y z (fractional)
K 0.0000 0.0000 0.0000  6 F 2.58-2.63
Mg 0.4573 0.4573 0.7750  5 F 1.96-2.04
Mg 0.5427 0.5427 0.2250  5 F 1.96-2.04
Sc 0.0000 0.0000 0.5000  6 F 2.01-2.06
F 0.2139 0.7710 0.2956  1 Mg 1.96, 1 Sc 2.06
F 0.2290 0.7861 0.7044  1 Mg 1.96, 1 Sc 2.06
F 0.2641 0.2641 0.5557  1 Mg 1.97, 1 Sc 2.01
F 0.3408 0.3408 0.9998  2 Mg 1.98-2.04
F 0.6592 0.6592 0.0002  2 Mg 1.98-2.04
F 0.7359 0.7359 0.4443  1 Mg 1.97, 1 Sc 2.01
F 0.7710 0.2139 0.2956  1 Mg 1.96, 1 Sc 2.06
F 0.7861 0.2290 0.7044  1 Mg 1.96, 1 Sc 2.06